Entry from Alexandria via LeMat-Bulk: crystalline PuAlSi2Ir at its relaxed geometry (PBE-GGA).

Cell: 3.930 3.930 6.072 Å, 108.88 108.88 90.00°
Fractional positions:
Pu 0.000 0.000 0.000
Si 0.391 0.391 0.782
Si 0.609 0.609 0.218
Ir 0.250 0.750 0.500
Al 0.750 0.250 0.500

Summary:
**DOS(E_F)**: 2.0835 states/eV per atom
**Uncorrected formation energy**: -0.676 eV/atom
**Total magnetic moment**: 1.07 μB per atom

Entry from Alexandria via LeMat-Bulk: crystalline PuAlSiIr at its relaxed geometry (PBE-GGA).

Cell: 4.294 4.294 5.412 Å, 66.63 66.63 60.00°
Fractional positions:
Pu 0.812 0.812 0.565
Ir 0.619 0.619 0.143
Al 0.275 0.275 0.175
Si 0.020 0.020 0.939

Summary:
**DOS(E_F)**: 2.4552 states/eV per atom
**Uncorrected formation energy**: -0.526 eV/atom
**Total magnetic moment**: 1.29 μB per atom

Entry from Alexandria via LeMat-Bulk: crystalline Pu2AlSi3Ir4 at its relaxed geometry (PBE-GGA).

Cell: 4.107 4.107 10.208 Å, 90.00 90.00 90.00°
Fractional positions:
Pu 0.000 0.500 0.748
Pu 0.500 0.000 0.252
Ir 0.000 0.500 0.362
Ir 0.500 0.500 0.000
Ir 0.000 0.000 0.000
Ir 0.500 0.000 0.638
Si 0.000 0.500 0.127
Si 0.000 0.000 0.500
Si 0.500 0.000 0.873
Al 0.500 0.500 0.500

Summary:
**DOS(E_F)**: 2.8573 states/eV per atom
**Uncorrected formation energy**: -0.839 eV/atom
**Total magnetic moment**: 1.03 μB per atom

Entry from Alexandria via LeMat-Bulk: crystalline RbAl2Ir at its relaxed geometry (PBE-GGA).

Cell: 6.380 6.380 8.184 Å, 67.06 67.06 90.00°
Fractional positions:
Al 0.375 0.125 0.750
Al 0.875 0.625 0.250
Al 0.875 0.125 0.750
Al 0.875 0.125 0.250
Ir 0.000 0.000 0.000
Ir 0.750 0.250 0.500
Rb 0.250 0.750 0.500
Rb 0.500 0.500 0.000

Summary:
**DOS(E_F)**: 0.0665 states/eV per atom
**DFT formation energy**: -0.0720 eV per atom
**Total magnetic moment**: 0.00 μB per atom

Entry from Alexandria via LeMat-Bulk: crystalline Rb3AlIr at its relaxed geometry (PBE-GGA).

Cell: 6.352 6.352 6.352 Å, 90.00 90.00 90.00°
Fractional positions:
Al 0.500 0.500 0.500
Rb 0.500 0.000 0.000
Rb 0.000 0.000 0.500
Rb 0.000 0.500 0.000
Ir 0.000 0.000 0.000

Summary:
**DOS(E_F)**: 3.0824 states/eV per atom
**DFT formation energy**: 1.0372 eV per atom
**Total magnetic moment**: 0.33 μB per atom

Entry from Alexandria via LeMat-Bulk: crystalline Rb2AlIr2 at its relaxed geometry (PBE-GGA).

Cell: 6.465 6.465 5.902 Å, 90.00 90.00 90.00°
Fractional positions:
Rb 0.822 0.322 0.500
Rb 0.322 0.178 0.500
Rb 0.178 0.678 0.500
Rb 0.678 0.822 0.500
Al 0.500 0.500 0.000
Al 0.000 0.000 0.000
Ir 0.865 0.635 0.000
Ir 0.365 0.865 0.000
Ir 0.135 0.365 0.000
Ir 0.635 0.135 0.000

Summary:
**DOS(E_F)**: 1.2257 states/eV per atom
**DFT formation energy**: 0.3380 eV per atom
**Total magnetic moment**: 0.17 μB per atom

Entry from Alexandria via LeMat-Bulk: crystalline Rb2AlIr2 at its relaxed geometry (PBE-GGA).

Cell: 4.269 4.269 8.012 Å, 74.55 74.55 90.00°
Fractional positions:
Rb 0.250 0.750 0.500
Rb 0.750 0.250 0.500
Ir 0.578 0.578 0.844
Ir 0.422 0.422 0.156
Al 0.000 0.000 0.000

Summary:
**DOS(E_F)**: 0.7760 states/eV per atom
**DFT formation energy**: 1.3900 eV per atom
**Total magnetic moment**: 0.59 μB per atom

Entry from Alexandria via LeMat-Bulk: crystalline RbAl3Ir at its relaxed geometry (PBE-GGA).

Cell: 5.308 5.308 5.308 Å, 90.00 90.00 90.00°
Fractional positions:
Al 0.500 0.000 0.000
Al 0.000 0.000 0.500
Al 0.000 0.500 0.000
Rb 0.000 0.000 0.000
Ir 0.500 0.500 0.500

Summary:
**DOS(E_F)**: 1.3251 states/eV per atom
**DFT formation energy**: 2.4922 eV per atom
**Total magnetic moment**: 0.00 μB per atom

Entry from Alexandria via LeMat-Bulk: crystalline RbAl3Ir at its relaxed geometry (PBE-GGA).

Cell: 4.878 4.878 4.878 Å, 90.00 90.00 90.00°
Fractional positions:
Al 0.500 0.000 0.000
Al 0.000 0.500 0.000
Al 0.000 0.000 0.500
Rb 0.500 0.500 0.500
Ir 0.000 0.000 0.000

Summary:
**DOS(E_F)**: 0.5750 states/eV per atom
**DFT formation energy**: -0.2114 eV per atom
**Total magnetic moment**: 0.14 μB per atom

Entry from Alexandria via LeMat-Bulk: crystalline RbAl2Ir at its relaxed geometry (PBE-GGA).

Cell: 4.799 4.799 4.799 Å, 60.00 60.00 60.00°
Fractional positions:
Rb 0.000 0.000 0.000
Al 0.250 0.250 0.250
Al 0.750 0.750 0.750
Ir 0.500 0.500 0.500

Summary:
**DOS(E_F)**: 1.2883 states/eV per atom
**DFT formation energy**: 0.5809 eV per atom
**Total magnetic moment**: 0.00 μB per atom

Entry from Alexandria via LeMat-Bulk: crystalline Rb2AlIrS at its relaxed geometry (PBE-GGA).

Cell: 6.318 4.672 6.318 Å, 90.00 90.00 90.00°
Fractional positions:
Ir 0.500 0.500 0.500
Rb 0.000 0.000 0.500
Rb 0.500 0.000 0.000
Al 0.000 0.500 0.000
S 0.000 0.000 0.000

Summary:
**DOS(E_F)**: 2.4156 states/eV per atom
**Uncorrected formation energy**: 0.652 eV/atom
**Total magnetic moment**: 0.25 μB per atom

Entry from Alexandria via LeMat-Bulk: crystalline RbAlTe2Ir at its relaxed geometry (PBE-GGA).

Cell: 6.342 5.207 6.342 Å, 90.00 90.00 90.00°
Fractional positions:
Rb 0.000 0.000 0.000
Al 0.500 0.500 0.500
Te 0.000 0.000 0.500
Te 0.500 0.000 0.000
Ir 0.000 0.500 0.000

Summary:
**DOS(E_F)**: 1.2668 states/eV per atom
**Uncorrected formation energy**: 1.834 eV/atom
**Total magnetic moment**: 0.67 μB per atom

Entry from Alexandria via LeMat-Bulk: crystalline AlReIr at its relaxed geometry (PBE-GGA).

Cell: 4.276 4.276 2.751 Å, 90.00 90.00 120.00°
Fractional positions:
Re 0.667 0.333 0.666
Ir 0.333 0.667 0.166
Al 0.000 0.000 0.167

Summary:
**DOS(E_F)**: 0.7132 states/eV per atom
**DFT formation energy**: -0.1928 eV per atom
**Total magnetic moment**: 0.00 μB per atom